1.
This record from the Alexandria database describes a geometry-optimized ErSnPdRu structure. The functional is PBE.

Values from the calculation:
density	11.1	g cm⁻³
space group	F-43m (216)
uncorrected energy	-6.35	eV per atom
calculated formation energy	-0.5870	eV/atom

a b c (Å): 4.710 4.710 4.710
angles (deg): 60.00 60.00 60.00
Sites, in units of the cell vectors:
Er (0.000, 0.000, 0.000)
Sn (0.500, 0.500, 0.500)
Pd (0.750, 0.750, 0.750)
Ru (0.250, 0.250, 0.250)

=====

2.
This record from the Alexandria database describes a geometry-optimized Er4SnPd2Ru structure. The functional is PBE.

Values from the calculation:
density	10.5	g cm⁻³
space group	R-3m (166)
uncorrected energy	-5.98	eV per atom
calculated formation energy	-0.7408	eV/atom

a b c (Å): 8.652 8.652 8.652
angles (deg): 33.40 33.40 33.40
Sites, in units of the cell vectors:
Er (0.115, 0.115, 0.115)
Er (0.368, 0.368, 0.368)
Er (0.632, 0.632, 0.632)
Er (0.885, 0.885, 0.885)
Sn (0.500, 0.500, 0.500)
Pd (0.247, 0.247, 0.247)
Pd (0.753, 0.753, 0.753)
Ru (0.000, 0.000, 0.000)

=====

3.
This record from the Alexandria database describes a geometry-optimized Er4SnPdRu2 structure. The functional is PBE.

Values from the calculation:
density	10.7	g cm⁻³
space group	R-3m (166)
uncorrected energy	-6.31	eV per atom
calculated formation energy	-0.5646	eV/atom

a b c (Å): 8.592 8.592 8.592
angles (deg): 33.26 33.26 33.26
Sites, in units of the cell vectors:
Er (0.119, 0.119, 0.119)
Er (0.371, 0.371, 0.371)
Er (0.629, 0.629, 0.629)
Er (0.881, 0.881, 0.881)
Sn (0.500, 0.500, 0.500)
Pd (0.000, 0.000, 0.000)
Ru (0.249, 0.249, 0.249)
Ru (0.751, 0.751, 0.751)

=====

Which value of density does entry 1 give?
11.1 g cm⁻³

=====

uncorrected energy of number 2 (Er4SnPd2Ru)?
-5.98 eV per atom

=====

Which value of density does entry 3 give?
10.7 g cm⁻³

=====

uncorrected energy of number 2 (Er4SnPd2Ru)?
-5.98 eV per atom